No. 1
This record from Alexandria describes a relaxed structure of PBr2Cl. The functional is GGA-PBEsol.

abc: 3.286 5.533 6.362
angles: 115.77 104.96 90.00
Sites, in units of the cell vectors:
Cl 0.588 0.588 0.176
Br 0.920 0.920 0.840
Br 0.744 0.244 0.488
P 0.248 0.748 0.496

As for the space-group type: Imm2, No. 44. The crystal system is orthorhombic. The value obtained for the total energy is -0.10260 hartree per atom. The formation energy (no corrections) is 0.09 eV per atom. The calculated volume comes out at 100 Å³/f.u.

---

No. 2
This record from Alexandria describes a relaxed structure of PBrCl2. The functional is GGA-PBEsol.

abc: 3.246 5.272 5.272
angles: 92.22 90.29 90.29
Sites, in units of the cell vectors:
Cl 0.000 0.000 0.500
Cl 0.000 0.500 0.000
P 0.000 0.500 0.500
Br 0.000 0.000 0.000

As for the space-group type: C2/m, No. 12. The crystal system is monoclinic. The value obtained for the total energy is -0.09006 hartree per atom. The formation energy (no corrections) is 0.47 eV per atom. The calculated volume comes out at 90 Å³/f.u.

---

No. 3
This record from Alexandria describes a relaxed structure of PBrCl2. The functional is GGA-PBEsol.

abc: 3.566 6.063 6.677
angles: 110.51 90.00 90.00
Sites, in units of the cell vectors:
Br 0.500 0.322 0.639
Cl 0.500 0.605 0.263
Cl 0.000 0.129 0.177
P 0.000 0.444 0.421

As for the space-group type: Pm, No. 6. The crystal system is monoclinic. The value obtained for the total energy is -0.12279 hartree per atom. The formation energy (no corrections) is -0.42 eV per atom. The calculated volume comes out at 135 Å³/f.u.

---

No. 4
This record from Alexandria describes a relaxed structure of P3BrCl14. The functional is GGA-PBEsol.

abc: 8.637 8.637 8.637
angles: 91.92 118.90 118.90
Sites, in units of the cell vectors:
Cl 0.362 0.480 0.199
Cl 0.889 0.611 0.282
Cl 0.000 0.324 0.324
Cl 0.719 0.887 0.524
Cl 0.638 0.837 0.117
Cl 0.329 0.722 0.611
Cl 0.111 0.393 0.722
Cl 0.281 0.805 0.167
Cl 0.362 0.167 0.887
Cl 0.638 0.524 0.805
Cl 0.281 0.117 0.480
Cl 0.671 0.282 0.393
Cl 0.000 0.680 0.680
Cl 0.719 0.199 0.837
P 0.500 0.752 0.252
P 0.000 0.502 0.502
P 0.500 0.252 0.752
Br 0.000 0.001 0.001

As for the space-group type: I4, No. 79. The crystal system is tetragonal. The value obtained for the total energy is -0.11789 hartree per atom. The formation energy (no corrections) is -0.58 eV per atom. The calculated volume comes out at 463 Å³/f.u.